w) ! TiCrS2N PBE optimized geometry; values from VASP
! symmetry = No. 123
&SYSTEM
  ibrav = 0, nat = 5, ntyp = 4
/
ATOMIC_SPECIES
S 32.06 S.upf
N 14.01 N.upf
Cr 52.00 Cr.upf
Ti 47.87 Ti.upf
ATOMIC_POSITIONS angstrom
S -1.568 -1.682 -0.322
N 0.738 -0.935 1.288
Cr 0.000 0.000 0.000
Ti -2.237 -1.601 2.509
S -1.407 1.016 1.543
CELL_PARAMETERS angstrom
-2.813 2.032 3.086
-3.136 -3.364 -0.645
1.476 -1.869 2.576

=====

x) ! TiCrS2N PBE optimized geometry; values from VASP
! symmetry = No. 123
&SYSTEM
  ibrav = 0, nat = 5, ntyp = 4
/
ATOMIC_SPECIES
N 14.01 N.upf
Cr 52.00 Cr.upf
Ti 47.87 Ti.upf
S 32.06 S.upf
ATOMIC_POSITIONS angstrom
N 0.646 0.037 1.784
Cr -2.533 0.182 2.932
Ti 0.000 0.000 0.000
S -1.646 -1.617 0.629
S -1.532 1.762 0.519
CELL_PARAMETERS angstrom
-3.065 3.524 1.037
-3.293 -3.234 1.259
1.292 0.073 3.569

=====

Most stable of them? w).

=====

w) ! TlCrS2N PBE optimized geometry; values from VASP
! symmetry = No. 123
&SYSTEM
  ibrav = 0, nat = 5, ntyp = 4
/
ATOMIC_SPECIES
N 14.01 N.upf
S 32.06 S.upf
Tl 204.38 Tl.upf
Cr 52.00 Cr.upf
ATOMIC_POSITIONS angstrom
N 0.000 0.000 2.104
S 0.000 2.616 0.000
Tl 0.000 0.000 0.000
S 2.616 0.000 0.000
Cr 2.616 2.616 2.104
CELL_PARAMETERS angstrom
5.232 0.000 0.000
0.000 5.232 0.000
0.000 0.000 4.209

=====

x) ! TlCrS2N PBE optimized geometry; values from VASP
! symmetry = No. 123
&SYSTEM
  ibrav = 0, nat = 5, ntyp = 4
/
ATOMIC_SPECIES
S 32.06 S.upf
Cr 52.00 Cr.upf
N 14.01 N.upf
Tl 204.38 Tl.upf
ATOMIC_POSITIONS angstrom
S -1.283 1.076 -1.733
Cr 0.000 0.000 0.000
N -1.520 -0.506 0.811
S -0.002 2.046 1.273
Tl -2.805 2.617 0.351
CELL_PARAMETERS angstrom
-0.004 4.093 2.546
-2.567 2.153 -3.465
-3.040 -1.012 1.622

=====

Most stable of them? x).

=====

w) ! VCrSN2 PBE optimized geometry; values from VASP
! symmetry = No. 123
&SYSTEM
  ibrav = 0, nat = 5, ntyp = 4
/
ATOMIC_SPECIES
V 50.94 V.upf
N 14.01 N.upf
S 32.06 S.upf
Cr 52.00 Cr.upf
ATOMIC_POSITIONS angstrom
V 0.000 0.000 0.000
N -1.649 -0.188 0.828
N -0.823 0.801 -1.457
S 0.283 2.236 1.069
Cr -2.189 2.849 0.441
CELL_PARAMETERS angstrom
-1.646 1.602 -2.913
-3.298 -0.376 1.657
0.565 4.472 2.139

=====

x) ! VCrSN2 PBE optimized geometry; values from VASP
! symmetry = No. 123
&SYSTEM
  ibrav = 0, nat = 5, ntyp = 4
/
ATOMIC_SPECIES
N 14.01 N.upf
Cr 52.00 Cr.upf
S 32.06 S.upf
V 50.94 V.upf
ATOMIC_POSITIONS angstrom
N 0.000 1.819 0.000
N 1.819 0.000 0.000
Cr 0.000 0.000 0.000
S 0.000 0.000 2.445
V 1.819 1.819 2.445
CELL_PARAMETERS angstrom
3.637 0.000 0.000
0.000 3.637 0.000
0.000 0.000 4.889

=====

Most stable of them? w).

=====

w) ! CrWSN2 PBE optimized geometry; values from VASP
! symmetry = No. 123
&SYSTEM
  ibrav = 0, nat = 5, ntyp = 4
/
ATOMIC_SPECIES
S 32.06 S.upf
Cr 52.00 Cr.upf
W 183.84 W.upf
N 14.01 N.upf
ATOMIC_POSITIONS angstrom
S 0.000 0.000 2.511
Cr 1.940 1.940 2.511
W 0.000 0.000 0.000
N 0.000 1.940 0.000
N 1.940 0.000 0.000
CELL_PARAMETERS angstrom
3.881 0.000 0.000
0.000 3.881 0.000
0.000 0.000 5.022

=====

x) ! CrWSN2 PBE optimized geometry; values from VASP
! symmetry = No. 123
&SYSTEM
  ibrav = 0, nat = 5, ntyp = 4
/
ATOMIC_SPECIES
N 14.01 N.upf
S 32.06 S.upf
W 183.84 W.upf
Cr 52.00 Cr.upf
ATOMIC_POSITIONS angstrom
N 1.841 0.000 0.000
S 0.000 0.000 2.362
W 1.841 1.841 2.362
N 0.000 1.841 0.000
Cr 0.000 0.000 0.000
CELL_PARAMETERS angstrom
3.681 0.000 0.000
0.000 3.681 0.000
0.000 0.000 4.723

=====

Most stable of them? w).

=====

w) ! ZnCrS2N PBE optimized geometry; values from VASP
! symmetry = No. 123
&SYSTEM
  ibrav = 0, nat = 5, ntyp = 4
/
ATOMIC_SPECIES
S 32.06 S.upf
N 14.01 N.upf
Zn 65.41 Zn.upf
Cr 52.00 Cr.upf
ATOMIC_POSITIONS angstrom
S 0.000 0.000 2.395
S 2.395 0.000 0.000
N 0.000 1.816 0.000
Zn 0.000 0.000 0.000
Cr 2.395 1.816 2.395
CELL_PARAMETERS angstrom
4.789 0.000 0.000
0.000 3.631 0.000
0.000 0.000 4.789

=====

x) ! ZnCrS2N PBE optimized geometry; values from VASP
! symmetry = No. 123
&SYSTEM
  ibrav = 0, nat = 5, ntyp = 4
/
ATOMIC_SPECIES
N 14.01 N.upf
Zn 65.41 Zn.upf
S 32.06 S.upf
Cr 52.00 Cr.upf
ATOMIC_POSITIONS angstrom
N 0.524 -0.143 1.667
Zn -1.966 1.813 2.618
S -0.276 2.304 0.285
Cr 0.000 0.000 0.000
S -2.214 -0.348 0.666
CELL_PARAMETERS angstrom
-0.552 4.608 0.569
-4.428 -0.695 1.332
1.048 -0.286 3.335

=====

Most stable of them? x).

=====

w) ! CrSb3N PBE optimized geometry; values from VASP
! symmetry = No. 221
&SYSTEM
  ibrav = 0, nat = 5, ntyp = 3
/
ATOMIC_SPECIES
Sb 121.76 Sb.upf
N 14.01 N.upf
Cr 52.00 Cr.upf
ATOMIC_POSITIONS angstrom
Sb -1.751 1.501 0.108
N 0.000 0.000 0.000
Sb -1.454 -1.729 0.475
Sb -0.390 -0.292 -2.257
Cr -3.594 -0.520 -1.674
CELL_PARAMETERS angstrom
-3.501 3.003 0.217
-0.780 -0.583 -4.513
-2.908 -3.459 0.950

=====

x) ! CrSb3N PBE optimized geometry; values from VASP
! symmetry = No. 221
&SYSTEM
  ibrav = 0, nat = 5, ntyp = 3
/
ATOMIC_SPECIES
N 14.01 N.upf
Sb 121.76 Sb.upf
Cr 52.00 Cr.upf
ATOMIC_POSITIONS angstrom
N 2.462 2.462 2.462
Sb 2.462 0.000 0.000
Cr 0.000 0.000 0.000
Sb 0.000 0.000 2.462
Sb 0.000 2.462 0.000
CELL_PARAMETERS angstrom
4.925 0.000 0.000
0.000 4.925 0.000
0.000 0.000 4.925

=====

Most stable of them? w).

=====

w) ! Cr2SbN PBE optimized geometry; values from VASP
! symmetry = No. 122
&SYSTEM
  ibrav = 0, nat = 8, ntyp = 3
/
ATOMIC_SPECIES
Cr 52.00 Cr.upf
N 14.01 N.upf
Sb 121.76 Sb.upf
ATOMIC_POSITIONS angstrom
Cr 2.315 4.616 0.774
Cr 4.616 5.393 2.323
Cr 7.694 6.917 2.323
N 3.077 3.077 0.000
Cr 3.840 1.539 0.774
Sb 6.155 3.077 1.549
N 3.077 6.155 1.549
Sb 0.000 0.000 0.000
CELL_PARAMETERS angstrom
6.155 0.000 0.000
0.000 6.155 0.000
3.077 3.077 3.098

=====

x) ! Cr2SbN PBE optimized geometry; values from VASP
! symmetry = No. 225
&SYSTEM
  ibrav = 0, nat = 4, ntyp = 3
/
ATOMIC_SPECIES
Cr 52.00 Cr.upf
N 14.01 N.upf
Sb 121.76 Sb.upf
ATOMIC_POSITIONS angstrom
Cr 4.517 4.517 4.517
Cr 1.506 1.506 1.506
N 0.000 0.000 0.000
Sb 3.011 3.011 3.011
CELL_PARAMETERS angstrom
0.000 3.011 3.011
3.011 0.000 3.011
3.011 3.011 0.000

=====

Most stable of them? w).

=====

w) ! CrSbTeN2 PBE optimized geometry; values from VASP
! symmetry = No. 123
&SYSTEM
  ibrav = 0, nat = 5, ntyp = 4
/
ATOMIC_SPECIES
Sb 121.76 Sb.upf
N 14.01 N.upf
Cr 52.00 Cr.upf
Te 127.60 Te.upf
ATOMIC_POSITIONS angstrom
Sb -2.459 2.169 2.216
N -1.603 -0.842 0.854
N -1.177 1.380 -0.848
Cr 0.000 0.000 0.000
Te 0.321 1.631 2.210
CELL_PARAMETERS angstrom
-2.354 2.760 -1.695
-3.206 -1.684 1.708
0.641 3.261 4.420

=====

x) ! CrSbTeN2 PBE optimized geometry; values from VASP
! symmetry = No. 123
&SYSTEM
  ibrav = 0, nat = 5, ntyp = 4
/
ATOMIC_SPECIES
N 14.01 N.upf
Te 127.60 Te.upf
Cr 52.00 Cr.upf
Sb 121.76 Sb.upf
ATOMIC_POSITIONS angstrom
N 0.000 1.998 0.000
N 1.998 0.000 0.000
Te 0.000 0.000 3.319
Cr 1.998 1.998 3.319
Sb 0.000 0.000 0.000
CELL_PARAMETERS angstrom
3.996 0.000 0.000
0.000 3.996 0.000
0.000 0.000 6.638

=====

Most stable of them? w).

=====

w) ! CrSbTe2N PBE optimized geometry; values from VASP
! symmetry = No. 123
&SYSTEM
  ibrav = 0, nat = 5, ntyp = 4
/
ATOMIC_SPECIES
Sb 121.76 Sb.upf
Cr 52.00 Cr.upf
Te 127.60 Te.upf
N 14.01 N.upf
ATOMIC_POSITIONS angstrom
Sb -0.409 -1.238 4.012
Cr 0.000 0.000 0.000
Te -1.913 -1.516 1.154
Te 1.838 -1.037 1.684
N -0.334 1.315 1.174
CELL_PARAMETERS angstrom
-3.826 -3.032 2.308
3.676 -2.074 3.368
-0.668 2.630 2.348

=====

x) ! CrSbTe2N PBE optimized geometry; values from VASP
! symmetry = No. 123
&SYSTEM
  ibrav = 0, nat = 5, ntyp = 4
/
ATOMIC_SPECIES
Te 127.60 Te.upf
Sb 121.76 Sb.upf
Cr 52.00 Cr.upf
N 14.01 N.upf
ATOMIC_POSITIONS angstrom
Te -0.131 -2.282 0.391
Sb 1.419 0.240 1.876
Te 1.850 -0.338 -1.356
Cr 3.138 -2.380 0.910
N 0.000 0.000 0.000
CELL_PARAMETERS angstrom
-0.261 -4.563 0.782
3.700 -0.676 -2.712
2.838 0.480 3.752

=====

y) ! CrSbTe2N PBE optimized geometry; values from VASP
! symmetry = No. 123
&SYSTEM
  ibrav = 0, nat = 5, ntyp = 4
/
ATOMIC_SPECIES
Sb 121.76 Sb.upf
N 14.01 N.upf
Te 127.60 Te.upf
Cr 52.00 Cr.upf
ATOMIC_POSITIONS angstrom
Sb 0.000 0.000 2.490
N 2.455 2.455 2.490
Te 0.000 2.455 0.000
Cr 0.000 0.000 0.000
Te 2.455 0.000 0.000
CELL_PARAMETERS angstrom
4.910 0.000 0.000
0.000 4.910 0.000
0.000 0.000 4.981

=====

Most stable of them? w).

=====

w) ! ScCrSe2N PBE optimized geometry; values from VASP
! symmetry = No. 123
&SYSTEM
  ibrav = 0, nat = 5, ntyp = 4
/
ATOMIC_SPECIES
Sc 44.96 Sc.upf
Se 78.96 Se.upf
Cr 52.00 Cr.upf
N 14.01 N.upf
ATOMIC_POSITIONS angstrom
Sc 0.000 0.000 0.000
Se 2.603 0.000 0.000
Se 0.000 2.603 0.000
Cr 2.603 2.603 2.035
N 0.000 0.000 2.035
CELL_PARAMETERS angstrom
5.207 0.000 0.000
0.000 5.207 0.000
0.000 0.000 4.070

=====

x) ! ScCrSe2N PBE optimized geometry; values from VASP
! symmetry = No. 123
&SYSTEM
  ibrav = 0, nat = 5, ntyp = 4
/
ATOMIC_SPECIES
Sc 44.96 Sc.upf
Se 78.96 Se.upf
N 14.01 N.upf
Cr 52.00 Cr.upf
ATOMIC_POSITIONS angstrom
Sc 2.433 -0.741 0.531
Se -0.675 -0.840 1.919
Se 0.375 1.935 0.979
N 2.134 0.354 3.429
Cr 0.000 0.000 0.000
CELL_PARAMETERS angstrom
-1.350 -1.680 3.837
4.867 -1.482 1.063
0.751 3.869 1.958

=====

Most stable of them? w).

=====

w) ! ScCrTe2N PBE optimized geometry; values from VASP
! symmetry = No. 123
&SYSTEM
  ibrav = 0, nat = 5, ntyp = 4
/
ATOMIC_SPECIES
Te 127.60 Te.upf
Cr 52.00 Cr.upf
N 14.01 N.upf
Sc 44.96 Sc.upf
ATOMIC_POSITIONS angstrom
Te -1.617 -1.450 -1.862
Te -0.089 2.293 -1.709
Cr -3.296 1.454 -2.667
N -1.590 0.612 0.904
Sc 0.000 0.000 0.000
CELL_PARAMETERS angstrom
-0.178 4.586 -3.417
-3.233 -2.901 -3.724
-3.181 1.224 1.808

=====

x) ! ScCrTe2N PBE optimized geometry; values from VASP
! symmetry = No. 123
&SYSTEM
  ibrav = 0, nat = 5, ntyp = 4
/
ATOMIC_SPECIES
Te 127.60 Te.upf
Sc 44.96 Sc.upf
N 14.01 N.upf
Cr 52.00 Cr.upf
ATOMIC_POSITIONS angstrom
Te 2.257 0.002 1.480
Sc 0.582 -1.076 4.036
N -0.787 1.078 1.199
Te -0.888 -2.157 1.357
Cr 0.000 0.000 0.000
CELL_PARAMETERS angstrom
-1.776 -4.314 2.715
4.513 0.004 2.960
-1.574 2.157 2.397

=====

Most stable of them? x).

=====

w) ! Cr2SeN PBE optimized geometry; values from VASP
! symmetry = No. 122
&SYSTEM
  ibrav = 0, nat = 8, ntyp = 3
/
ATOMIC_SPECIES
Cr 52.00 Cr.upf
N 14.01 N.upf
Se 78.96 Se.upf
ATOMIC_POSITIONS angstrom
Cr -6.021 -2.818 -0.788
N -5.079 -3.213 0.831
N -1.813 -2.984 -0.369
Se 0.000 0.000 0.000
Cr -2.423 -2.044 -1.920
Se -4.466 -3.158 -2.626
Cr -7.390 -5.247 -1.721
Cr -3.256 -2.634 0.838
CELL_PARAMETERS angstrom
-1.199 -2.929 -3.825
-2.426 -3.038 3.087
-5.919 -0.404 -1.057

=====

x) ! Cr2SeN PBE optimized geometry; values from VASP
! symmetry = No. 225
&SYSTEM
  ibrav = 0, nat = 4, ntyp = 3
/
ATOMIC_SPECIES
Se 78.96 Se.upf
Cr 52.00 Cr.upf
N 14.01 N.upf
ATOMIC_POSITIONS angstrom
Se -4.624 -0.331 1.658
Cr -2.312 -0.166 0.829
Cr -6.936 -0.497 2.486
N 0.000 0.000 0.000
CELL_PARAMETERS angstrom
-2.373 -1.634 2.804
-3.125 2.075 1.446
-3.751 -1.103 -0.935

=====

Most stable of them? w).

=====

w) ! CrSe3N PBE optimized geometry; values from VASP
! symmetry = No. 221
&SYSTEM
  ibrav = 0, nat = 5, ntyp = 3
/
ATOMIC_SPECIES
Se 78.96 Se.upf
N 14.01 N.upf
Cr 52.00 Cr.upf
ATOMIC_POSITIONS angstrom
Se -1.788 0.819 0.893
N 0.000 0.000 0.000
Se -1.210 -1.284 -1.245
Se 0.059 -1.531 1.522
Cr -2.939 -1.997 1.169
CELL_PARAMETERS angstrom
-3.576 1.637 1.785
-2.420 -2.569 -2.491
0.117 -3.062 3.044

=====

x) ! CrSe3N PBE optimized geometry; values from VASP
! symmetry = No. 221
&SYSTEM
  ibrav = 0, nat = 5, ntyp = 3
/
ATOMIC_SPECIES
Se 78.96 Se.upf
Cr 52.00 Cr.upf
N 14.01 N.upf
ATOMIC_POSITIONS angstrom
Se 0.000 2.370 0.000
Cr 0.000 0.000 0.000
N 2.370 2.370 2.370
Se 2.370 0.000 0.000
Se 0.000 0.000 2.370
CELL_PARAMETERS angstrom
4.741 0.000 0.000
0.000 4.741 0.000
0.000 0.000 4.741

=====

Most stable of them? w).

=====

w) ! CrSnSeN2 PBE optimized geometry; values from VASP
! symmetry = No. 123
&SYSTEM
  ibrav = 0, nat = 5, ntyp = 4
/
ATOMIC_SPECIES
Se 78.96 Se.upf
Cr 52.00 Cr.upf
N 14.01 N.upf
Sn 118.71 Sn.upf
ATOMIC_POSITIONS angstrom
Se -1.548 1.536 1.347
Cr 0.000 0.000 0.000
N -1.505 -0.640 -1.001
Sn -3.317 -0.499 1.634
N -0.264 -1.395 1.288
CELL_PARAMETERS angstrom
-3.010 -1.279 -2.002
-0.527 -2.790 2.577
-3.096 3.072 2.693

=====

x) ! CrSnSeN2 PBE optimized geometry; values from VASP
! symmetry = No. 123
&SYSTEM
  ibrav = 0, nat = 5, ntyp = 4
/
ATOMIC_SPECIES
N 14.01 N.upf
Cr 52.00 Cr.upf
Se 78.96 Se.upf
Sn 118.71 Sn.upf
ATOMIC_POSITIONS angstrom
N 0.000 2.011 0.000
Cr 2.011 2.011 2.761
Se 0.000 0.000 2.761
N 2.011 0.000 0.000
Sn 0.000 0.000 0.000
CELL_PARAMETERS angstrom
4.022 0.000 0.000
0.000 4.022 0.000
0.000 0.000 5.523

=====

Most stable of them? w).